1.
Density functional theory data (PBE) for a geometry-optimized Tc2OsBr structure.

Computed properties:
* total magnetic moment: 0.0 μB/f.u.
* volume: 15.947 A^3/atom
* offset from the most stable computed form: 230 meV per atom
* uncorrected formation energy: 0.77 eV per atom

abc: 9.878 2.890 4.481
angles: 90.00 94.15 90.00
Space group Cm (No. 8)
Unique sites:
Tc 0.000 0.000 0.000
Tc 0.203 0.500 0.278
Os 0.268 0.000 0.831
Br 0.483 0.000 0.531

***

2.
Density functional theory data (PBE) for a geometry-optimized Tc2OsBr structure.

Computed properties:
* total magnetic moment: 0.0 μB/f.u.
* volume: 15.540 A^3/atom
* offset from the most stable computed form: 618 meV per atom
* uncorrected formation energy: 1.15 eV per atom

abc: 6.288 6.288 6.288
angles: 90.00 90.00 90.00
Space group F-43m (No. 216)
Unique sites:
Tc 0.000 0.000 0.000
Tc 0.250 0.250 0.250
Os 0.000 0.000 0.500
Br 0.250 0.250 0.750

***

3.
Density functional theory data (PBE) for a geometry-optimized Tc3OsBr structure.

Computed properties:
* total magnetic moment: 5.3 μB/f.u.
* volume: 22.175 A^3/atom
* offset from the most stable computed form: 0 meV per atom
* uncorrected formation energy: 1.85 eV per atom

abc: 4.804 4.804 4.804
angles: 90.00 90.00 90.00
Space group Pm-3m (No. 221)
Unique sites:
Tc 0.000 0.000 0.500
Os 0.000 0.000 0.000
Br 0.500 0.500 0.500

***

4.
Density functional theory data (PBE) for a geometry-optimized TcOs3Br structure.

Computed properties:
* total magnetic moment: 4.2 μB/f.u.
* volume: 21.677 A^3/atom
* offset from the most stable computed form: 0 meV per atom
* uncorrected formation energy: 2.47 eV per atom

abc: 4.768 4.768 4.768
angles: 90.00 90.00 90.00
Space group Pm-3m (No. 221)
Unique sites:
Tc 0.000 0.000 0.000
Os 0.000 0.000 0.500
Br 0.500 0.500 0.500

***

Question: offset from the most stable computed form of number 4 (TcOs3Br)?
Answer: 0 meV per atom

***

Question: The highest uncorrected formation energy belongs to which entry?
Answer: TcOs3Br

***

Copy entry 4 word for word.
Density functional theory data (PBE) for a geometry-optimized TcOs3Br structure.

Computed properties:
* total magnetic moment: 4.2 μB/f.u.
* volume: 21.677 A^3/atom
* offset from the most stable computed form: 0 meV per atom
* uncorrected formation energy: 2.47 eV per atom

abc: 4.768 4.768 4.768
angles: 90.00 90.00 90.00
Space group Pm-3m (No. 221)
Unique sites:
Tc 0.000 0.000 0.000
Os 0.000 0.000 0.500
Br 0.500 0.500 0.500